[1]
The following is a DFT calculation (PBE-GGA) of a relaxed HoSc2Bi2 crystal.

The structure in CIF format:
```
data_HoSc2Bi2
_chemical_formula_sum 'Ho2 Sc4 Bi4'
_cell_length_a 6.154
_cell_length_b 6.145
_cell_length_c 7.929
_cell_angle_alpha 90.00
_cell_angle_beta 111.84
_cell_angle_gamma 90.00
_symmetry_space_group_name_H-M 'C 1 2/m 1'
_symmetry_Int_Tables_number 12
loop_
_symmetry_equiv_pos_as_xyz
'x,y,z'
'-x,-y,-z'
'-x,y,-z'
'x,-y,z'
'x+1/2,y+1/2,z'
'-x+1/2,-y+1/2,-z'
'-x+1/2,y+1/2,-z'
'x+1/2,-y+1/2,z'
loop_
_atom_site_label
_atom_site_type_symbol
_atom_site_fract_x
_atom_site_fract_y
_atom_site_fract_z
_atom_site_occupancy
Ho1 Ho 0.000 0.000 0.000 1
Sc1 Sc 0.000 0.251 0.500 1
Bi1 Bi 0.115 0.500 0.218 1
```

## Properties
Calculated total energy   -5.391 eV/atom
Fermi-level density of states   9.1 states/eV per cell


[2]
The following is a DFT calculation (PBE-GGA) of a relaxed Hg4AsI3 crystal.

The structure in CIF format:
```
data_Hg4AsI3
_chemical_formula_sum 'Hg8 As2 I6'
_cell_length_a 12.305
_cell_length_b 7.827
_cell_length_c 7.846
_cell_angle_alpha 90.00
_cell_angle_beta 90.00
_cell_angle_gamma 90.00
_symmetry_space_group_name_H-M 'P m n 21'
_symmetry_Int_Tables_number 31
loop_
_symmetry_equiv_pos_as_xyz
'x,y,z'
'-x+1/2,-y,z+1/2'
'-x,y,z'
'x+1/2,-y,z+1/2'
loop_
_atom_site_label
_atom_site_type_symbol
_atom_site_fract_x
_atom_site_fract_y
_atom_site_fract_z
_atom_site_occupancy
Hg1 Hg 0.000 0.100 0.000 1
Hg2 Hg 0.000 0.847 0.584 1
Hg3 Hg 0.150 0.706 0.956 1
As1 As 0.000 0.814 0.154 1
I1 I 0.000 0.360 0.771 1
I2 I 0.176 0.352 0.252 1
```

## Properties
Relative energy among the computed polymorphs   0.000 eV per atom
Formation energy without anion corrections   -0.159 eV per atom
Calculated total energy   -1.473 eV/atom
Fermi-level density of states   0.0 states/eV per cell


[3]
The following is a DFT calculation (PBE-GGA) of a relaxed Nd2Te crystal.

The structure in CIF format:
```
data_Nd2Te
_chemical_formula_sum 'Nd8 Te4'
_cell_length_a 4.198
_cell_length_b 15.984
_cell_length_c 6.234
_cell_angle_alpha 90.00
_cell_angle_beta 90.00
_cell_angle_gamma 90.00
_symmetry_space_group_name_H-M 'C m c m'
_symmetry_Int_Tables_number 63
_symmetry_space_group_name_Hall '-C 2c 2'
loop_
_atom_site_label
_atom_site_type_symbol
_atom_site_fract_x
_atom_site_fract_y
_atom_site_fract_z
_atom_site_occupancy
Nd1 Nd 0.000 0.052 0.250 1
Nd2 Nd 0.000 0.350 0.250 1
Te1 Te 0.000 0.301 0.750 1
```

## Properties
Formation energy without anion corrections   -0.831 eV per atom
Calculated total energy   -5.057 eV/atom
Fermi-level density of states   15.0 states/eV per cell